VASP calculation (PBE) on crystalline Th2AlNi at its relaxed geometry.

The formation energy from the elements comes out at 0.3541 eV per atom. The polymorph energy (0 for the lowest one) comes out at 2.80 eV per formula unit.

It has space group R-3m (No. 166, hexagonal axes), with a = 3.2886 Å, b = 3.2886 Å, c = 31.3032 Å, α = 90.00°, β = 90.00° and γ = 120.00°. The distinct sites, in fractional coordinates, are Th at (0.0000, 0.0000, 0.0820), Al at (0.0000, 0.0000, 0.5000) and Ni at (0.0000, 0.0000, 0.0000).



VASP calculation (PBE) on crystalline ThAl9Ni2 at its relaxed geometry.

The formation energy from the elements comes out at -0.3589 eV per atom.

It has space group I4_1/amd (No. 141, origin choice 2), with a = 10.558 Å, b = 10.558 Å, c = 6.990 Å, α = 90.00°, β = 90.00° and γ = 90.00°. The distinct sites, in fractional coordinates, are Th at (0.000, 0.250, 0.375), Al at (0.000, 0.250, 0.875), Al at (0.123, 0.051, 0.687) and Ni at (0.000, 0.000, 0.000).



VASP calculation (PBE) on crystalline ThAl3Ni2 at its relaxed geometry.

The formation energy from the elements comes out at -0.6544 eV per atom. The polymorph energy (0 for the lowest one) comes out at 0.00 eV per formula unit.

It has space group P6/mmm (No. 191), with a = 5.2991 Å, b = 5.2991 Å, c = 4.0971 Å, α = 90.00°, β = 90.00° and γ = 120.00°. The distinct sites, in fractional coordinates, are Th at (0.0000, 0.0000, 0.0000), Al at (0.0000, 0.5000, 0.5000) and Ni at (0.3333, 0.6667, 0.0000).



Which value of formation energy from the elements does entry 2 give?
-0.3589 eV per atom



Which value of formation energy from the elements does entry 1 give?
0.3541 eV per atom